Entry from the Alexandria database: a relaxed MgSc2AlN crystal (PBE).

The structure in POSCAR format:
```
MgSc2AlN
1.0
4.425 0.000 0.000
0.000 4.425 0.000
0.000 0.000 4.294
Mg Sc Al N
1 2 1 1
Direct
0.000 0.000 0.000
0.000 0.500 0.500
0.500 0.000 0.500
0.500 0.500 0.000
0.000 0.000 0.500
```

Calculated values
Calculated volume, Å³/cell: 84
Raw total energy, eV/cell: -30.61
ΔE_f (raw), eV/atom: -0.86
Crystal system: tetragonal
Fermi-level density of states, states/eV per cell: 1.54